Entry 1:
The following is a PBE calculation of a relaxed structure of Ba4CaW, from the Alexandria database.

Geometry as extended XYZ:
```
6
Lattice="3.7128 -2.7905 5.6947 -3.6205 -2.3821 5.9345 -0.3535 -7.1963 1.4455" Properties=species:S:1:pos:R:3 pbc="T T T"
Ba 1.7766 -6.0321 7.7620
Ba -0.2761 -8.2562 5.6170
Ba -1.9252 -5.8260 7.8831
Ba -0.0976 -4.6235 4.8873
Ca -0.1959 -9.2766 9.8060
W 0.0000 0.0000 0.0000
```

- Density of states at the Fermi level: 8.2 states/eV per cell
- Total energy: -2.6043 eV/atom
- Energy of formation from the pure elements: 1.170 eV/atom
- Space group: F-43m

Entry 2:
The following is a PBE calculation of a relaxed structure of Y2Zn2Te, from the Alexandria database.

Geometry as extended XYZ:
```
5
Lattice="-0.4960 -3.4599 -2.5342 1.7838 -0.4244 3.9070 -7.0977 1.2434 3.3812" Properties=species:S:1:pos:R:3 pbc="T T T"
Y -1.4546 -2.7508 0.3643
Y -4.3553 0.1098 4.3898
Zn -3.4635 -0.6100 1.5179
Zn -2.3464 -2.0310 3.2362
Te 0.0000 0.0000 0.0000
```

- Formation energy from raw total energies: -75 kJ per mole of atoms
- Density of states at the Fermi level: 3.8 states/eV per cell
- Total energy: -4.4959 eV/atom
- Space group: R-3m

Entry 3:
The following is a PBE calculation of a relaxed structure of Y12ThSc2, from the Alexandria database.

Geometry as extended XYZ:
```
30
Lattice="6.2244 -1.4491 -0.3780 -1.4491 6.2244 -0.3780 -1.8580 -1.8580 26.2413" Properties=species:S:1:pos:R:3 pbc="T T T"
Y 1.4073 1.2295 20.4730
Y -1.1581 -0.9804 20.8510
Y 2.7668 2.7815 23.6717
Y -0.4752 3.3616 22.2641
Y -1.4023 5.1286 8.3610
Y -0.4443 3.3925 3.2211
Y 2.8748 -0.9620 16.8135
Y 1.2919 2.4345 8.3610
Y 0.3939 0.3791 24.0497
Y 2.5382 2.5235 1.4355
Y 0.5482 -0.6885 14.3715
Y 3.8793 0.0426 8.6717
Y -2.2113 4.3196 17.1242
Y -0.0185 1.2182 11.4917
Y 0.1358 0.1505 1.8135
Y 3.6058 2.3691 11.1137
Y 1.6992 2.9359 13.9935
Y 3.8977 4.0755 4.6342
Y 4.2821 0.4453 14.0274
Y 0.4828 1.6255 17.1242
Y 3.3848 -0.4520 22.4055
Y 1.6878 1.5100 5.0122
Y 2.4720 -1.3648 11.4578
Y 3.3693 -0.4675 3.0797
Th -0.2072 3.6295 25.6334
Th -0.7122 3.1246 -0.1482
Sc 0.9154 4.7522 5.9056
Sc 4.8487 1.0119 5.8090
Sc -1.8348 2.0019 19.5796
Sc 1.9054 -1.9314 19.6762
```

- Density of states at the Fermi level: 56.0 states/eV per cell
- Total energy: -6.4268 eV/atom
- Energy of formation from the pure elements: 0.083 eV/atom
- Space group: C2/m

Entry 4:
The following is a PBE calculation of a relaxed structure of La2Y, from the Alexandria database.

Geometry as extended XYZ:
```
6
Lattice="3.7200 0.0000 0.0000 1.8600 6.7694 0.0009 0.0000 2.1739 8.4995" Properties=species:S:1:pos:R:3 pbc="T T T"
La 3.7200 0.0282 0.0116
La 3.7200 6.8511 6.1654
La 1.8600 3.6743 5.6355
La 3.7200 5.2308 2.8445
Y 3.7200 1.6000 3.2571
Y 1.8600 3.1210 0.5038
```

- Density of states at the Fermi level: 10.9 states/eV per cell
- Total energy: -5.4040 eV/atom
- Energy of formation from the pure elements: 0.036 eV/atom
- Space group: Cm

Entry 5:
The following is a PBE calculation of a relaxed structure of AlP2Ir2, from the Alexandria database.

Geometry as extended XYZ:
```
10
Lattice="7.2228 0.0000 0.0000 0.0000 7.2228 0.0000 0.0000 0.0000 2.8492" Properties=species:S:1:pos:R:3 pbc="T T T"
P 1.1051 4.7166 1.4246
P 4.7166 6.1177 1.4246
P 6.1177 2.5063 1.4246
P 2.5063 1.1051 1.4246
Ir 2.5955 6.2069 0.0000
Ir 6.2069 4.6273 0.0000
Ir 4.6273 1.0159 0.0000
Ir 1.0159 2.5955 0.0000
Al 0.0000 0.0000 0.0000
Al 3.6114 3.6114 0.0000
```

- Density of states at the Fermi level: 7.6 states/eV per cell
- Total energy: -6.4386 eV/atom
- Energy of formation from the pure elements: 0.018 eV/atom
- Space group: P4/mbm

Entry 6:
The following is a PBE calculation of a relaxed structure of Sm3Tl3CrSe8, from the Alexandria database.

Geometry as extended XYZ:
```
15
Lattice="-0.8587 4.7551 -6.7307 -6.4323 -1.1754 5.0900 6.6840 5.3678 2.9395" Properties=species:S:1:pos:R:3 pbc="T T T"
Sm 2.9127 5.0614 -1.8956
Sm -0.3035 4.4737 0.6494
Sm 0.1259 2.0962 4.0148
Tl 0.0000 0.0000 0.0000
Tl -3.2162 -0.5877 2.5450
Tl -3.6455 1.7898 -0.8203
Cr 3.3420 2.6839 1.4697
Se -1.6859 2.1608 1.7417
Se 1.0789 6.7866 -0.4428
Se -2.3091 4.7012 -1.4839
Se 1.7021 4.2463 2.7828
Se 1.2391 5.3500 -4.2923
Se -1.8461 3.5974 5.5911
Se 1.7129 2.7261 -0.5783
Se -2.3199 6.2213 1.8771
```

- Formation energy from raw total energies: -109 kJ per mole of atoms
- Density of states at the Fermi level: 6.8 states/eV per cell
- Total energy: -5.0424 eV/atom
- Space group: R-3m

Entry 7:
The following is a PBE calculation of a relaxed structure of SbMo2Pt, from the Alexandria database.

Geometry as extended XYZ:
```
4
Lattice="5.0462 0.0001 0.0000 1.8423 4.6978 0.0000 -3.4442 -2.3490 2.8431" Properties=species:S:1:pos:R:3 pbc="T T T"
Mo 0.0000 0.0000 0.0000
Mo 3.4442 2.3490 0.0000
Pt 0.9211 2.3489 1.4216
Sb 2.5231 0.0000 1.4216
```

- Formation energy from raw total energies: 11 kJ per mole of atoms
- Density of states at the Fermi level: 5.5 states/eV per cell
- Total energy: -7.8409 eV/atom
- Space group: I4/mmm

Entry 8:
The following is a PBE calculation of a relaxed structure of Ba8Pd3Au2, from the Alexandria database.

Geometry as extended XYZ:
```
13
Lattice="5.5826 0.0000 0.0000 0.0000 9.7610 -5.6100 -0.0001 -0.9067 9.6976" Properties=species:S:1:pos:R:3 pbc="T T T"
Ba 0.0000 5.8520 -1.1181
Ba 5.5826 3.0022 5.2057
Ba 5.5826 0.9440 1.6330
Ba 0.0000 7.9103 2.4546
Ba 2.7913 5.5095 3.7961
Ba 2.7913 0.5192 6.6599
Ba 2.7913 8.3350 -2.5722
Ba 2.7913 3.3448 0.2915
Pd 2.7913 0.0000 0.0000
Pd -0.0001 1.5886 8.2615
Pd 0.0000 7.2656 -4.1739
Au 2.7912 2.0114 3.4870
Au 2.7913 6.8428 0.6006
```

- Density of states at the Fermi level: 8.5 states/eV per cell
- Total energy: -3.3536 eV/atom
- Energy of formation from the pure elements: -0.468 eV/atom
- Space group: P2/m